A plane-wave DFT calculation with GGA-PBE was carried out for a relaxed structure of MgTiHgAs2.

Calculated values
- uncorrected energy (eV/atom) = -2.9209
- SG = P4/mmm, No. 123
- size of the total moment (μB per cell) = 1.9
- formation energy from the elements (meV/atom) = 897

Unit cell a=5.2563 b=4.8644 c=5.2563 alpha=90.00 beta=90.00 gamma=90.00
Atoms (fractional coordinates):
Mg  0.0000  0.5000  0.0000
As  0.0000  0.0000  0.5000
As  0.5000  0.0000  0.0000
Hg  0.0000  0.0000  0.0000
Ti  0.5000  0.5000  0.5000

***

A plane-wave DFT calculation with GGA-PBE was carried out for a relaxed structure of MnHg2As.

Calculated values
- uncorrected energy (eV/atom) = -3.4134
- SG = Imm2, No. 44
- size of the total moment (μB per cell) = 3.4
- formation energy from the elements (meV/atom) = 192

Unit cell a=6.6491 b=6.6491 c=6.6491 alpha=154.48 beta=137.06 gamma=50.62
Atoms (fractional coordinates):
As  0.6847  0.1847  0.5000
Hg  0.9967  0.9967  0.0000
Hg  0.3059  0.8059  0.5000
Mn  0.5127  0.5127  0.0000

***

Please write out number 2 again, unchanged.
A plane-wave DFT calculation with GGA-PBE was carried out for a relaxed structure of MnHg2As.

Calculated values
- uncorrected energy (eV/atom) = -3.4134
- SG = Imm2, No. 44
- size of the total moment (μB per cell) = 3.4
- formation energy from the elements (meV/atom) = 192

Unit cell a=6.6491 b=6.6491 c=6.6491 alpha=154.48 beta=137.06 gamma=50.62
Atoms (fractional coordinates):
As  0.6847  0.1847  0.5000
Hg  0.9967  0.9967  0.0000
Hg  0.3059  0.8059  0.5000
Mn  0.5127  0.5127  0.0000

***

Number 2 is which compound?
MnHg2As

***

Which of these has the highest formation energy from the elements?
MgTiHgAs2

***

Which value of formation energy from the elements does entry 1 give?
897 meV/atom